[1]
The following is a PBE calculation of a relaxed CsNp2TlO8 crystal, from the Alexandria database.

Unit cell a=6.2955 b=6.2955 c=7.4084 alpha=90.00 beta=90.00 gamma=120.00
Space group P-3 (No. 147)
Symmetry-distinct sites (fractional):
Cs1 0.0000 0.0000 0.0000 (multiplicity 1)
Np1 0.3333 0.6667 0.4549 (multiplicity 2)
Tl1 0.0000 0.0000 0.5000 (multiplicity 1)
O1 0.0687 0.4053 0.6182 (multiplicity 6)
O2 0.3333 0.6667 0.2047 (multiplicity 2)

- formation energy (no corrections) (eV/atom) = -2.018


[2]
The following is a PBE calculation of a relaxed Co8NiIr2 crystal, from the Alexandria database.

Unit cell a=9.011 b=4.798 c=6.329 alpha=90.00 beta=98.07 gamma=90.00
Space group C2/m (No. 12)
Symmetry-distinct sites (fractional):
Co1 0.063 0.243 0.337 (multiplicity 8)
Co2 0.123 0.000 0.967 (multiplicity 4)
Co3 0.204 0.000 0.630 (multiplicity 4)
Ni1 0.000 0.500 0.000 (multiplicity 2)
Ir1 0.181 0.500 0.727 (multiplicity 4)

- D(E_F) (states/eV/f.u.) = 13.002
- formation energy (eV/atom) = 0.1962


[3]
The following is a PBE calculation of a relaxed SiTe2Rh crystal, from the Alexandria database.

Unit cell a=6.855 b=3.959 c=6.797 alpha=90.00 beta=109.72 gamma=90.00
Space group C2/m (No. 12)
Symmetry-distinct sites (fractional):
Si1 0.000 0.000 0.000 (multiplicity 2)
Te1 0.245 0.000 0.734 (multiplicity 4)
Rh1 0.000 0.500 0.500 (multiplicity 2)

- D(E_F) (states/eV/f.u.) = 3.122
- formation energy (no corrections) (eV/atom) = 0.012


[4]
The following is a PBE calculation of a relaxed LaUN2 crystal, from the Alexandria database.

Unit cell a=3.5480 b=3.5480 c=17.6984 alpha=90.00 beta=90.00 gamma=120.00
Space group R-3m (No. 166, hexagonal axes)
Symmetry-distinct sites (fractional):
La1 0.0000 0.0000 0.0000 (multiplicity 3)
U1 0.0000 0.0000 0.5000 (multiplicity 3)
N1 0.0000 0.0000 0.2323 (multiplicity 6)

- D(E_F) (states/eV/f.u.) = 3.875
- formation energy (no corrections) (eV/atom) = -1.377


[5]
The following is a PBE calculation of a relaxed LaOsPd3 crystal, from the Alexandria database.

Unit cell a=4.879 b=4.879 c=4.879 alpha=90.00 beta=90.00 gamma=90.00
Space group Pm-3m (No. 221)
Symmetry-distinct sites (fractional):
La1 0.000 0.000 0.000 (multiplicity 1)
Os1 0.500 0.500 0.500 (multiplicity 1)
Pd1 0.000 0.500 0.500 (multiplicity 3)

- D(E_F) (states/eV/f.u.) = 6.575
- E above lowest polymorph (eV/atom) = 0.000
- formation energy (eV/atom) = 0.3652


[6]
The following is a PBE calculation of a relaxed In2Ni6C crystal, from the Alexandria database.

Unit cell a=3.841 b=3.841 c=7.491 alpha=90.00 beta=90.00 gamma=90.00
Space group P4/mmm (No. 123)
Symmetry-distinct sites (fractional):
In1 0.000 0.000 0.239 (multiplicity 2)
Ni1 0.000 0.500 0.000 (multiplicity 2)
Ni2 0.000 0.500 0.500 (multiplicity 2)
Ni3 0.500 0.500 0.247 (multiplicity 2)
C1 0.500 0.500 0.500 (multiplicity 1)

- D(E_F) (states/eV/f.u.) = 7.592
- formation energy (eV/atom) = -0.0581


[7]
The following is a PBE calculation of a relaxed SmMgZnCo crystal, from the Alexandria database.

Unit cell a=6.736 b=6.736 c=6.736 alpha=90.00 beta=90.00 gamma=90.00
Space group F-43m (No. 216)
Symmetry-distinct sites (fractional):
Sm1 0.000 0.000 0.000 (multiplicity 4)
Mg1 0.000 0.000 0.500 (multiplicity 4)
Zn1 0.250 0.250 0.250 (multiplicity 4)
Co1 0.250 0.250 0.750 (multiplicity 4)

- D(E_F) (states/eV/f.u.) = 3.659
- formation energy (eV/atom) = -0.0441


[8]
The following is a PBE calculation of a relaxed CeHoAu6 crystal, from the Alexandria database.

Unit cell a=8.551 b=4.889 c=8.572 alpha=90.00 beta=110.19 gamma=90.00
Space group C2/m (No. 12)
Symmetry-distinct sites (fractional):
Ce1 0.000 0.000 0.000 (multiplicity 2)
Ho1 0.000 0.500 0.500 (multiplicity 2)
Au1 0.122 0.500 0.868 (multiplicity 4)
Au2 0.128 0.000 0.382 (multiplicity 4)
Au3 0.250 0.000 0.751 (multiplicity 4)

- D(E_F) (states/eV/f.u.) = 7.337
- formation energy (eV/atom) = -0.6240


Calculated raw total energy in order - -7.75 -7.11 -4.75 -9.59 -5.98 -5.55 -3.72 -4.40 eV/atom